[1]
A relaxed Cs3SrCu2C7S7N7 crystal, computed with PBE-GGA.

For the raw total energy, the calculation gives -6.3349 eV per atom. The crystal system is tetragonal. The volume comes out at 1165.05 Å³/cell.

```
data_Cs3SrCu2C7S7N7
_chemical_formula_sum 'Cs6 Sr2 Cu4 C14 S14 N14'
_symmetry_space_group_name_H-M 'P 1'
_symmetry_Int_Tables_number 1
_cell_length_a 12.524
_cell_length_b 10.848
_cell_length_c 10.848
_cell_angle_alpha 90.00
_cell_angle_beta 115.67
_cell_angle_gamma 115.67
loop_
_symmetry_equiv_pos_as_xyz
'x,y,z'
loop_
_atom_site_label
_atom_site_fract_x
_atom_site_fract_y
_atom_site_fract_z
Cs1 0.601 0.065 0.065
Cs2 0.399 0.464 0.935
Cs3 0.399 0.935 0.464
Cs4 0.601 0.536 0.536
Cs5 0.000 0.000 0.500
Cs6 0.000 0.500 0.000
N1 0.720 0.095 0.858
N2 0.000 0.867 0.133
N3 0.720 0.625 0.862
N4 0.467 0.234 0.234
N5 0.280 0.375 0.142
N6 0.280 0.142 0.375
N7 0.720 0.858 0.095
N8 0.280 0.138 0.905
N9 0.000 0.133 0.867
N10 0.000 0.867 0.867
N11 0.533 0.766 0.766
N12 0.000 0.133 0.133
N13 0.720 0.862 0.625
N14 0.280 0.905 0.138
S1 0.691 0.021 0.418
S2 0.691 0.273 0.670
S3 0.691 0.418 0.021
S4 0.309 0.330 0.582
S5 0.309 0.727 0.979
S6 0.754 0.377 0.377
S7 0.030 0.698 0.331
S8 0.309 0.979 0.727
S9 0.691 0.670 0.273
S10 0.309 0.582 0.330
S11 0.970 0.669 0.669
S12 0.970 0.302 0.302
S13 0.246 0.623 0.623
S14 0.030 0.331 0.698
C1 0.990 0.785 0.785
C2 0.707 0.170 0.779
C3 0.990 0.205 0.205
C4 0.010 0.795 0.215
C5 0.707 0.928 0.538
C6 0.293 0.072 0.830
C7 0.010 0.215 0.795
C8 0.707 0.779 0.170
C9 0.293 0.462 0.221
C10 0.707 0.538 0.928
C11 0.293 0.830 0.072
C12 0.293 0.221 0.462
C13 0.413 0.707 0.707
C14 0.587 0.293 0.293
Cu1 0.197 0.747 0.747
Cu2 0.803 0.253 0.550
Cu3 0.197 0.450 0.450
Cu4 0.803 0.550 0.253
Sr1 0.809 0.904 0.904
Sr2 0.191 0.096 0.096
```



[2]
A relaxed CsDyC3N3 crystal, computed with PBE-GGA.

For the raw total energy, the calculation gives -7.5551 eV per atom. The crystal system is cubic. The volume comes out at 416.43 Å³/cell. The total magnetization comes out at 0.00 μB per formula unit.

```
data_CsDyC3N3
_chemical_formula_sum 'Cs2 Dy2 C6 N6'
_symmetry_space_group_name_H-M 'P 1'
_symmetry_Int_Tables_number 1
_cell_length_a 8.382
_cell_length_b 8.382
_cell_length_c 8.382
_cell_angle_alpha 60.00
_cell_angle_beta 60.00
_cell_angle_gamma 60.00
loop_
_symmetry_equiv_pos_as_xyz
'x,y,z'
loop_
_atom_site_label
_atom_site_fract_x
_atom_site_fract_y
_atom_site_fract_z
Cs1 0.250 0.250 0.250
Cs2 0.750 0.750 0.750
C1 0.704 0.296 0.704
C2 0.704 0.704 0.296
C3 0.704 0.296 0.296
C4 0.296 0.704 0.296
C5 0.296 0.296 0.704
C6 0.296 0.704 0.704
Dy1 0.000 0.000 0.000
Dy2 0.500 0.500 0.500
N1 0.196 0.804 0.196
N2 0.804 0.196 0.804
N3 0.196 0.196 0.804
N4 0.196 0.804 0.804
N5 0.804 0.196 0.196
N6 0.804 0.804 0.196
```



[3]
A relaxed CsDyC2O6 crystal, computed with PBE-GGA.

For the raw total energy, the calculation gives -7.4788 eV per atom. The crystal system is monoclinic. The volume comes out at 272.39 Å³/cell. The total magnetization comes out at 0.00 μB per formula unit.

```
data_CsDyC2O6
_chemical_formula_sum 'Cs2 Dy2 C4 O12'
_symmetry_space_group_name_H-M 'P 1'
_symmetry_Int_Tables_number 1
_cell_length_a 6.432
_cell_length_b 6.432
_cell_length_c 7.014
_cell_angle_alpha 103.37
_cell_angle_beta 103.37
_cell_angle_gamma 93.84
loop_
_symmetry_equiv_pos_as_xyz
'x,y,z'
loop_
_atom_site_label
_atom_site_fract_x
_atom_site_fract_y
_atom_site_fract_z
O1 0.703 0.464 0.098
O2 0.464 0.703 0.598
O3 0.391 0.952 0.238
O4 0.233 0.275 0.622
O5 0.609 0.048 0.762
O6 0.767 0.725 0.378
O7 0.275 0.233 0.122
O8 0.536 0.297 0.402
O9 0.297 0.536 0.902
O10 0.048 0.609 0.262
O11 0.952 0.391 0.738
O12 0.725 0.767 0.878
Cs1 0.108 0.892 0.750
Cs2 0.892 0.108 0.250
Dy1 0.599 0.401 0.750
Dy2 0.401 0.599 0.250
C1 0.154 0.399 0.753
C2 0.846 0.601 0.247
C3 0.399 0.154 0.253
C4 0.601 0.846 0.747
```



[4]
A relaxed CsDy4CSe2 crystal, computed with PBE-GGA.

For the raw total energy, the calculation gives -5.2336 eV per atom. The crystal system is trigonal. The volume comes out at 222.94 Å³/cell. The total magnetization comes out at 0.62 μB per formula unit.

```
data_CsDy4CSe2
_chemical_formula_sum 'Cs1 Dy4 C1 Se2'
_symmetry_space_group_name_H-M 'P 1'
_symmetry_Int_Tables_number 1
_cell_length_a 3.782
_cell_length_b 3.782
_cell_length_c 18.001
_cell_angle_alpha 90.00
_cell_angle_beta 90.00
_cell_angle_gamma 120.00
loop_
_symmetry_equiv_pos_as_xyz
'x,y,z'
loop_
_atom_site_label
_atom_site_fract_x
_atom_site_fract_y
_atom_site_fract_z
C1 0.000 0.000 0.000
Se1 0.333 0.667 0.186
Se2 0.667 0.333 0.814
Dy1 0.667 0.333 0.073
Dy2 0.333 0.667 0.708
Dy3 0.667 0.333 0.292
Dy4 0.333 0.667 0.927
Cs1 0.000 0.000 0.500
```



[5]
A relaxed CsEr6CI12 crystal, computed with PBE-GGA.

For the raw total energy, the calculation gives -4.0407 eV per atom. The crystal system is trigonal. The volume comes out at 769.63 Å³/cell. The total magnetization comes out at 3.01 μB per formula unit.

```
data_CsEr6CI12
_chemical_formula_sum 'Cs1 Er6 C1 I12'
_symmetry_space_group_name_H-M 'P 1'
_symmetry_Int_Tables_number 1
_cell_length_a 9.526
_cell_length_b 9.526
_cell_length_c 9.526
_cell_angle_alpha 72.95
_cell_angle_beta 107.05
_cell_angle_gamma 107.05
loop_
_symmetry_equiv_pos_as_xyz
'x,y,z'
loop_
_atom_site_label
_atom_site_fract_x
_atom_site_fract_y
_atom_site_fract_z
Er1 0.265 0.970 0.088
Er2 0.735 0.030 0.912
Er3 0.970 0.912 0.265
Er4 0.912 0.735 0.970
Er5 0.088 0.265 0.030
Er6 0.030 0.088 0.735
I1 0.361 0.068 0.789
I2 0.581 0.720 0.855
I3 0.280 0.855 0.419
I4 0.932 0.789 0.639
I5 0.211 0.639 0.068
I6 0.720 0.145 0.581
I7 0.855 0.581 0.280
I8 0.639 0.932 0.211
I9 0.789 0.361 0.932
I10 0.145 0.419 0.720
I11 0.419 0.280 0.145
I12 0.068 0.211 0.361
C1 0.000 0.000 0.000
Cs1 0.500 0.500 0.500
```



[6]
A relaxed Cs2NaFeC6N6 crystal, computed with PBE-GGA.

For the raw total energy, the calculation gives -7.4086 eV per atom. The crystal system is monoclinic. The volume comes out at 615.48 Å³/cell. The total magnetization comes out at 1.00 μB per formula unit.

```
data_Cs2NaFeC6N6
_chemical_formula_sum 'Cs4 Na2 Fe2 C12 N12'
_symmetry_space_group_name_H-M 'P 1'
_symmetry_Int_Tables_number 1
_cell_length_a 7.498
_cell_length_b 7.628
_cell_length_c 10.761
_cell_angle_alpha 90.00
_cell_angle_beta 89.95
_cell_angle_gamma 90.00
loop_
_symmetry_equiv_pos_as_xyz
'x,y,z'
loop_
_atom_site_label
_atom_site_fract_x
_atom_site_fract_y
_atom_site_fract_z
N1 0.230 0.329 0.961
N2 0.070 0.014 0.281
N3 0.270 0.829 0.539
N4 0.930 0.986 0.719
N5 0.166 0.271 0.533
N6 0.770 0.671 0.039
N7 0.666 0.229 0.033
N8 0.730 0.171 0.461
N9 0.334 0.771 0.967
N10 0.430 0.514 0.219
N11 0.834 0.729 0.467
N12 0.570 0.486 0.781
C1 0.858 0.797 0.023
C2 0.795 0.142 0.020
C3 0.458 0.507 0.326
C4 0.042 0.007 0.174
C5 0.542 0.493 0.674
C6 0.358 0.703 0.523
C7 0.142 0.203 0.977
C8 0.205 0.858 0.980
C9 0.705 0.642 0.480
C10 0.958 0.993 0.826
C11 0.295 0.358 0.520
C12 0.642 0.297 0.477
Fe1 0.500 0.500 0.500
Fe2 0.000 0.000 0.000
Na1 0.500 0.500 0.000
Na2 0.000 0.000 0.500
Cs1 0.009 0.541 0.750
Cs2 0.509 0.959 0.250
Cs3 0.491 0.041 0.750
Cs4 0.991 0.459 0.250
```



[7]
A relaxed Cs2RbFeC6N6 crystal, computed with PBE-GGA.

For the raw total energy, the calculation gives -7.3937 eV per atom. The crystal system is monoclinic. The volume comes out at 698.66 Å³/cell. The total magnetization comes out at 1.00 μB per formula unit.

```
data_Cs2RbFeC6N6
_chemical_formula_sum 'Cs4 Rb2 Fe2 C12 N12'
_symmetry_space_group_name_H-M 'P 1'
_symmetry_Int_Tables_number 1
_cell_length_a 7.679
_cell_length_b 8.186
_cell_length_c 11.114
_cell_angle_alpha 90.00
_cell_angle_beta 90.41
_cell_angle_gamma 90.00
loop_
_symmetry_equiv_pos_as_xyz
'x,y,z'
loop_
_atom_site_label
_atom_site_fract_x
_atom_site_fract_y
_atom_site_fract_z
C1 0.795 0.122 0.033
C2 0.423 0.527 0.339
C3 0.295 0.378 0.533
C4 0.383 0.696 0.544
C5 0.617 0.304 0.456
C6 0.205 0.878 0.967
C7 0.117 0.196 0.956
C8 0.577 0.473 0.661
C9 0.077 0.027 0.161
C10 0.883 0.804 0.044
C11 0.923 0.973 0.839
C12 0.705 0.622 0.467
Cs1 0.478 0.072 0.752
Cs2 0.022 0.572 0.748
Cs3 0.978 0.428 0.252
Cs4 0.522 0.928 0.248
N1 0.628 0.452 0.760
N2 0.372 0.548 0.240
N3 0.333 0.806 0.943
N4 0.311 0.816 0.572
N5 0.167 0.306 0.557
N6 0.189 0.316 0.928
N7 0.833 0.694 0.443
N8 0.128 0.048 0.260
N9 0.689 0.184 0.428
N10 0.667 0.194 0.057
N11 0.872 0.952 0.740
N12 0.811 0.684 0.072
Rb1 0.500 0.500 0.000
Rb2 0.000 0.000 0.500
Fe1 0.500 0.500 0.500
Fe2 0.000 0.000 0.000
```



[8]
A relaxed Cs2FeSnC6N6 crystal, computed with PBE-GGA.

For the raw total energy, the calculation gives -7.4971 eV per atom. The crystal system is cubic. The volume comes out at 340.94 Å³/cell. The total magnetization comes out at 0.00 μB per formula unit.

```
data_Cs2FeSnC6N6
_chemical_formula_sum 'Cs2 Fe1 Sn1 C6 N6'
_symmetry_space_group_name_H-M 'P 1'
_symmetry_Int_Tables_number 1
_cell_length_a 7.842
_cell_length_b 7.842
_cell_length_c 7.842
_cell_angle_alpha 60.00
_cell_angle_beta 60.00
_cell_angle_gamma 60.00
loop_
_symmetry_equiv_pos_as_xyz
'x,y,z'
loop_
_atom_site_label
_atom_site_fract_x
_atom_site_fract_y
_atom_site_fract_z
C1 0.167 0.167 0.833
C2 0.833 0.833 0.167
C3 0.833 0.167 0.833
C4 0.167 0.833 0.167
C5 0.833 0.167 0.167
C6 0.167 0.833 0.833
N1 0.726 0.726 0.274
N2 0.274 0.274 0.726
N3 0.726 0.274 0.726
N4 0.274 0.726 0.274
N5 0.274 0.726 0.726
N6 0.726 0.274 0.274
Cs1 0.250 0.250 0.250
Cs2 0.750 0.750 0.750
Sn1 0.500 0.500 0.500
Fe1 0.000 0.000 0.000
```



Which value of raw total energy does entry 6 give? -7.4086 eV per atom